Record 1
# Si2P2I | Alexandria via LeMat-Bulk | GGA-PBEsol | relaxed
data_Si2P2I
_chemical_formula_sum 'Si4 P4 I2'
_symmetry_space_group_name_H-M 'P 4/m b m'
_symmetry_Int_Tables_number 127
_symmetry_space_group_name_Hall '-P 4 2ab'
_cell_length_a 8.716
_cell_length_b 8.716
_cell_length_c 3.107
_cell_angle_alpha 90.00
_cell_angle_beta 90.00
_cell_angle_gamma 90.00
loop_
_atom_site_label
_atom_site_type_symbol
_atom_site_fract_x
_atom_site_fract_y
_atom_site_fract_z
Si1 Si 0.123 0.377 0.000
P1 P 0.095 0.595 0.500
I1 I 0.000 0.000 0.500
# **Formation energy without anion corrections**: 0.444 eV per atom

Record 2
# SiTePI2 | Alexandria via LeMat-Bulk | GGA-PBEsol | relaxed
data_SiTePI2
_chemical_formula_sum 'Si1 Te1 P1 I2'
_symmetry_space_group_name_H-M 'P 4/m m m'
_symmetry_Int_Tables_number 123
_symmetry_space_group_name_Hall '-P 4 2'
_cell_length_a 5.299
_cell_length_b 5.299
_cell_length_c 5.245
_cell_angle_alpha 90.00
_cell_angle_beta 90.00
_cell_angle_gamma 90.00
loop_
_atom_site_label
_atom_site_type_symbol
_atom_site_fract_x
_atom_site_fract_y
_atom_site_fract_z
Si1 Si 0.000 0.000 0.000
Te1 Te 0.500 0.500 0.000
P1 P 0.500 0.500 0.500
I1 I 0.000 0.500 0.500
# **Formation energy without anion corrections**: 0.680 eV per atom

Record 3
# SnP3I | Alexandria via LeMat-Bulk | GGA-PBEsol | relaxed
data_SnP3I
_chemical_formula_sum 'Sn1 P3 I1'
_symmetry_space_group_name_H-M 'P m -3 m'
_symmetry_Int_Tables_number 221
_symmetry_space_group_name_Hall '-P 4 2 3'
_cell_length_a 5.021
_cell_length_b 5.021
_cell_length_c 5.021
_cell_angle_alpha 90.00
_cell_angle_beta 90.00
_cell_angle_gamma 90.00
loop_
_atom_site_label
_atom_site_type_symbol
_atom_site_fract_x
_atom_site_fract_y
_atom_site_fract_z
Sn1 Sn 0.000 0.000 0.000
P1 P 0.000 0.000 0.500
I1 I 0.500 0.500 0.500
# **Formation energy without anion corrections**: 1.151 eV per atom

Record 4
# SnTePI2 | Alexandria via LeMat-Bulk | GGA-PBEsol | relaxed
data_SnTePI2
_chemical_formula_sum 'Sn1 Te1 P1 I2'
_symmetry_space_group_name_H-M 'P 4/m m m'
_symmetry_Int_Tables_number 123
_symmetry_space_group_name_Hall '-P 4 2'
_cell_length_a 5.355
_cell_length_b 5.355
_cell_length_c 5.312
_cell_angle_alpha 90.00
_cell_angle_beta 90.00
_cell_angle_gamma 90.00
loop_
_atom_site_label
_atom_site_type_symbol
_atom_site_fract_x
_atom_site_fract_y
_atom_site_fract_z
Sn1 Sn 0.000 0.000 0.000
Te1 Te 0.500 0.500 0.000
P1 P 0.500 0.500 0.500
I1 I 0.000 0.500 0.500
# **Formation energy without anion corrections**: 0.223 eV per atom

Record 5
# Sr2TePI | Alexandria via LeMat-Bulk | GGA-PBEsol | relaxed
data_Sr2TePI
_chemical_formula_sum 'Sr2 Te1 P1 I1'
_symmetry_space_group_name_H-M 'P 4/m m m'
_symmetry_Int_Tables_number 123
_symmetry_space_group_name_Hall '-P 4 2'
_cell_length_a 5.859
_cell_length_b 5.859
_cell_length_c 5.153
_cell_angle_alpha 90.00
_cell_angle_beta 90.00
_cell_angle_gamma 90.00
loop_
_atom_site_label
_atom_site_type_symbol
_atom_site_fract_x
_atom_site_fract_y
_atom_site_fract_z
Sr1 Sr 0.000 0.500 0.000
Te1 Te 0.000 0.000 0.500
P1 P 0.500 0.500 0.000
I1 I 0.500 0.500 0.500
# **Formation energy without anion corrections**: -0.841 eV per atom

Record 6
# SrTePI2 | Alexandria via LeMat-Bulk | GGA-PBEsol | relaxed
data_SrTePI2
_chemical_formula_sum 'Sr1 Te1 P1 I2'
_symmetry_space_group_name_H-M 'P 4/m m m'
_symmetry_Int_Tables_number 123
_symmetry_space_group_name_Hall '-P 4 2'
_cell_length_a 6.161
_cell_length_b 6.161
_cell_length_c 6.523
_cell_angle_alpha 90.00
_cell_angle_beta 90.00
_cell_angle_gamma 90.00
loop_
_atom_site_label
_atom_site_type_symbol
_atom_site_fract_x
_atom_site_fract_y
_atom_site_fract_z
Sr1 Sr 0.000 0.000 0.000
Te1 Te 0.000 0.000 0.500
P1 P 0.500 0.500 0.500
I1 I 0.000 0.500 0.000
# **Formation energy without anion corrections**: 0.265 eV per atom

Record 7
# TaTePI2 | Alexandria via LeMat-Bulk | GGA-PBEsol | relaxed
data_TaTePI2
_chemical_formula_sum 'Ta1 Te1 P1 I2'
_symmetry_space_group_name_H-M 'P 4/m m m'
_symmetry_Int_Tables_number 123
_symmetry_space_group_name_Hall '-P 4 2'
_cell_length_a 5.208
_cell_length_b 5.208
_cell_length_c 5.162
_cell_angle_alpha 90.00
_cell_angle_beta 90.00
_cell_angle_gamma 90.00
loop_
_atom_site_label
_atom_site_type_symbol
_atom_site_fract_x
_atom_site_fract_y
_atom_site_fract_z
Ta1 Ta 0.000 0.000 0.000
Te1 Te 0.500 0.500 0.000
P1 P 0.500 0.500 0.500
I1 I 0.000 0.500 0.500
# **Formation energy without anion corrections**: 1.200 eV per atom

Record 8
# Tc2P2I | Alexandria via LeMat-Bulk | GGA-PBEsol | relaxed
data_Tc2P2I
_chemical_formula_sum 'Tc4 P4 I2'
_symmetry_space_group_name_H-M 'I 4/m m m'
_symmetry_Int_Tables_number 139
_symmetry_space_group_name_Hall '-I 4 2'
_cell_length_a 4.240
_cell_length_b 4.240
_cell_length_c 8.952
_cell_angle_alpha 90.00
_cell_angle_beta 90.00
_cell_angle_gamma 90.00
loop_
_atom_site_label
_atom_site_type_symbol
_atom_site_fract_x
_atom_site_fract_y
_atom_site_fract_z
Tc1 Tc 0.000 0.500 0.250
P1 P 0.000 0.000 0.130
I1 I 0.000 0.000 0.500
# **Formation energy without anion corrections**: -0.105 eV per atom

Record 9
# TePI3 | Alexandria via LeMat-Bulk | GGA-PBEsol | relaxed
data_TePI3
_chemical_formula_sum 'Te1 P1 I3'
_symmetry_space_group_name_H-M 'P m -3 m'
_symmetry_Int_Tables_number 221
_symmetry_space_group_name_Hall '-P 4 2 3'
_cell_length_a 5.925
_cell_length_b 5.925
_cell_length_c 5.925
_cell_angle_alpha 90.00
_cell_angle_beta 90.00
_cell_angle_gamma 90.00
loop_
_atom_site_label
_atom_site_type_symbol
_atom_site_fract_x
_atom_site_fract_y
_atom_site_fract_z
Te1 Te 0.000 0.000 0.000
P1 P 0.500 0.500 0.500
I1 I 0.000 0.000 0.500
# **Formation energy without anion corrections**: 0.706 eV per atom

Record 10
# TiTe2PI | Alexandria via LeMat-Bulk | GGA-PBEsol | relaxed
data_TiTe2PI
_chemical_formula_sum 'Ti1 Te2 P1 I1'
_symmetry_space_group_name_H-M 'P 4/m m m'
_symmetry_Int_Tables_number 123
_symmetry_space_group_name_Hall '-P 4 2'
_cell_length_a 5.269
_cell_length_b 5.269
_cell_length_c 5.338
_cell_angle_alpha 90.00
_cell_angle_beta 90.00
_cell_angle_gamma 90.00
loop_
_atom_site_label
_atom_site_type_symbol
_atom_site_fract_x
_atom_site_fract_y
_atom_site_fract_z
Ti1 Ti 0.000 0.000 0.000
Te1 Te 0.000 0.500 0.000
P1 P 0.500 0.500 0.500
I1 I 0.000 0.000 0.500
# **Formation energy without anion corrections**: 0.427 eV per atom

Record 11
# YTePI2 | Alexandria via LeMat-Bulk | GGA-PBEsol | relaxed
data_YTePI2
_chemical_formula_sum 'Y1 Te1 P1 I2'
_symmetry_space_group_name_H-M 'P 4/m m m'
_symmetry_Int_Tables_number 123
_symmetry_space_group_name_Hall '-P 4 2'
_cell_length_a 5.810
_cell_length_b 5.810
_cell_length_c 5.976
_cell_angle_alpha 90.00
_cell_angle_beta 90.00
_cell_angle_gamma 90.00
loop_
_atom_site_label
_atom_site_type_symbol
_atom_site_fract_x
_atom_site_fract_y
_atom_site_fract_z
Y1 Y 0.000 0.000 0.000
Te1 Te 0.000 0.000 0.500
P1 P 0.500 0.500 0.500
I1 I 0.000 0.500 0.000
# **Formation energy without anion corrections**: 0.024 eV per atom

Record 12
# ZrTe2PI | Alexandria via LeMat-Bulk | GGA-PBEsol | relaxed
data_ZrTe2PI
_chemical_formula_sum 'Zr1 Te2 P1 I1'
_symmetry_space_group_name_H-M 'P 4/m m m'
_symmetry_Int_Tables_number 123
_symmetry_space_group_name_Hall '-P 4 2'
_cell_length_a 5.121
_cell_length_b 5.121
_cell_length_c 5.192
_cell_angle_alpha 90.00
_cell_angle_beta 90.00
_cell_angle_gamma 90.00
loop_
_atom_site_label
_atom_site_type_symbol
_atom_site_fract_x
_atom_site_fract_y
_atom_site_fract_z
Zr1 Zr 0.000 0.000 0.000
Te1 Te 0.000 0.500 0.500
P1 P 0.500 0.500 0.500
I1 I 0.500 0.500 0.000
# **Formation energy without anion corrections**: 0.442 eV per atom

Number 1: total energy -4.52 eV per atom. Number 2: total energy -3.04 eV per atom. Number 3: total energy -3.53 eV per atom. Number 4: total energy -3.20 eV per atom. Number 5: total energy -3.79 eV per atom. Number 6: total energy -2.67 eV per atom. Number 7: total energy -3.88 eV per atom. Number 8: total energy -7.28 eV per atom. Number 9: total energy -2.22 eV per atom. Number 10: total energy -4.16 eV per atom. Number 11: total energy -3.91 eV per atom. Number 12: total energy -4.30 eV per atom.